Below is a relaxed Sc2In3Ga3 crystal, with properties calculated at the PBE level.

## Properties
Crystal system = orthorhombic
Size of the total moment = 0.0 μB per cell
Symmetry = No. 47
Calculated total energy = -32.905 eV per formula unit
Energy of formation = -0.368 eV per atom

The structure in extended XYZ format:
```
8
Lattice="4.258 0.000 0.000 0.000 4.356 0.000 0.000 0.000 8.820" Properties=species:S:1:pos:R:3 pbc="T T T"
Sc 0.000 0.000 2.118
Sc 0.000 0.000 6.702
In 0.000 2.178 0.000
In 0.000 2.178 4.410
In 2.129 0.000 4.410
Ga 2.129 0.000 0.000
Ga 2.129 2.178 2.133
Ga 2.129 2.178 6.688
```